Entry 1:
{
  "formula": "SrPrMg",
  "functional": "PBE-GGA",
  "state": "relaxed",
  "lattice": [[-1.975, 1.975, 7.066], [1.975, -1.975, 7.066], [1.975, 1.975, -7.066]],
  "species": ["Sr", "Pr", "Mg"],
  "fractional_positions": [[0.000, 0.000, 0.000], [0.292, 0.292, 0.000], [0.661, 0.661, 0.000]],
  "e_above_lowest_polymorph_mev_per_atom": 0,
  "formation_energy_ev_per_atom": 0.010,
  "rho_g_cm3": 3.8
}

=====

Entry 2:
{
  "formula": "Tb3NdAl2",
  "functional": "PBE-GGA",
  "state": "relaxed",
  "lattice": [[3.576, 0.000, 0.000], [0.000, 3.576, 0.000], [0.000, 0.000, 12.690]],
  "species": ["Tb", "Tb", "Tb", "Nd", "Al", "Al"],
  "fractional_positions": [[0.000, 0.000, 0.000], [0.000, 0.000, 0.293], [0.000, 0.000, 0.707], [0.500, 0.500, 0.500], [0.500, 0.500, 0.148], [0.500, 0.500, 0.852]],
  "e_above_lowest_polymorph_mev_per_atom": 0,
  "formation_energy_ev_per_atom": -0.251,
  "rho_g_cm3": 6.9
}

=====

Entry 3:
{
  "formula": "PmEr2Ge2Pt7",
  "functional": "PBE-GGA",
  "state": "relaxed",
  "lattice": [[2.899, -2.861, 0.000], [2.899, 2.861, 0.000], [-2.403, 0.000, 13.899]],
  "species": ["Pm", "Er", "Er", "Ge", "Ge", "Pt", "Pt", "Pt", "Pt", "Pt", "Pt", "Pt"],
  "fractional_positions": [[0.000, 0.000, 0.000], [0.132, 0.132, 0.360], [0.868, 0.868, 0.640], [0.390, 0.390, 0.738], [0.610, 0.610, 0.262], [0.068, 0.568, 0.161], [0.356, 0.356, 0.565], [0.432, 0.932, 0.839], [0.500, 0.500, 0.000], [0.568, 0.068, 0.161], [0.644, 0.644, 0.435], [0.932, 0.432, 0.839]],
  "formation_energy_ev_per_atom": -0.932,
  "rho_g_cm3": 14.3
}

=====

Entry 4:
{
  "formula": "Dy12Cu6Ni",
  "functional": "PBE-GGA",
  "state": "relaxed",
  "lattice": [[6.095, 3.519, 3.930], [-6.095, 3.519, 3.930], [0.000, -7.038, 3.930]],
  "species": ["Dy", "Dy", "Dy", "Dy", "Dy", "Dy", "Dy", "Dy", "Dy", "Dy", "Dy", "Dy", "Cu", "Cu", "Cu", "Cu", "Cu", "Cu", "Ni"],
  "fractional_positions": [[0.033, 0.918, 0.681], [0.082, 0.319, 0.967], [0.189, 0.566, 0.416], [0.319, 0.967, 0.082], [0.416, 0.189, 0.566], [0.434, 0.584, 0.811], [0.566, 0.416, 0.189], [0.584, 0.811, 0.434], [0.681, 0.033, 0.918], [0.811, 0.434, 0.584], [0.918, 0.681, 0.033], [0.967, 0.082, 0.319], [0.128, 0.312, 0.630], [0.312, 0.630, 0.128], [0.370, 0.872, 0.688], [0.630, 0.128, 0.312], [0.688, 0.370, 0.872], [0.872, 0.688, 0.370], [0.000, 0.000, 0.000]],
  "formation_energy_ev_per_atom": -0.002,
  "rho_g_cm3": 7.8
}

=====

Entry 5:
{
  "formula": "AcGaBRu3",
  "functional": "PBE-GGA",
  "state": "relaxed",
  "lattice": [[2.938, -5.990, 0.000], [2.938, 5.990, 0.000], [0.000, 0.000, 5.971]],
  "species": ["Ac", "Ac", "Ga", "Ga", "B", "B", "Ru", "Ru", "Ru", "Ru", "Ru", "Ru"],
  "fractional_positions": [[0.243, 0.757, 0.750], [0.757, 0.243, 0.250], [0.122, 0.878, 0.250], [0.878, 0.122, 0.750], [0.487, 0.513, 0.750], [0.513, 0.487, 0.250], [0.256, 0.256, 0.000], [0.256, 0.256, 0.500], [0.336, 0.664, 0.250], [0.664, 0.336, 0.750], [0.744, 0.744, 0.000], [0.744, 0.744, 0.500]],
  "formation_energy_ev_per_atom": -0.191,
  "rho_g_cm3": 9.7
}

=====

Entry 6:
{
  "formula": "Sm2CoP3Rh4",
  "functional": "PBE-GGA",
  "state": "relaxed",
  "lattice": [[4.092, 0.000, 0.000], [0.000, 4.092, 0.000], [0.000, 0.000, 9.794]],
  "species": ["Sm", "Sm", "Co", "P", "P", "P", "Rh", "Rh", "Rh", "Rh"],
  "fractional_positions": [[0.000, 0.500, 0.245], [0.500, 0.000, 0.755], [0.500, 0.500, 0.000], [0.000, 0.000, 0.000], [0.000, 0.500, 0.638], [0.500, 0.000, 0.362], [0.000, 0.000, 0.500], [0.000, 0.500, 0.874], [0.500, 0.000, 0.126], [0.500, 0.500, 0.500]],
  "formation_energy_ev_per_atom": -0.953,
  "rho_g_cm3": 8.7
}

=====

Entry 7:
{
  "formula": "MgGeIr",
  "functional": "PBE-GGA",
  "state": "relaxed",
  "lattice": [[-1.650, 1.650, 4.424], [1.650, -1.650, 4.424], [1.650, 1.650, -4.424]],
  "species": ["Mg", "Ge", "Ir"],
  "fractional_positions": [[0.000, 0.000, 0.000], [0.688, 0.688, 0.000], [0.317, 0.317, 0.000]],
  "formation_energy_ev_per_atom": -0.325,
  "rho_g_cm3": 10.0
}

=====

Entry 8:
{
  "formula": "ZnCdTeP",
  "functional": "PBE-GGA",
  "state": "relaxed",
  "lattice": [[3.385, 0.000, 0.000], [1.586, 3.927, 0.000], [0.901, 0.383, 7.476]],
  "species": ["Zn", "Cd", "Te", "P"],
  "fractional_positions": [[0.000, 0.000, 0.000], [0.881, 0.461, 0.627], [0.893, 0.994, 0.371], [0.317, 0.427, 0.904]],
  "e_above_lowest_polymorph_mev_per_atom": 30,
  "rho_g_cm3": 5.6,
  "formation_energy_uncorrected_ev_per_atom": -0.08
}

=====

Entry 9:
{
  "formula": "Zr5Ga2Pb2",
  "functional": "PBE-GGA",
  "state": "relaxed",
  "lattice": [[7.275, -3.744, 0.000], [7.275, 3.744, 0.000], [0.000, 0.000, 7.430]],
  "species": ["Zr", "Zr", "Zr", "Zr", "Zr", "Zr", "Zr", "Zr", "Zr", "Zr", "Ga", "Ga", "Ga", "Ga", "Pb", "Pb", "Pb", "Pb"],
  "fractional_positions": [[0.000, 0.000, 0.000], [0.051, 0.705, 0.675], [0.205, 0.551, 0.175], [0.295, 0.949, 0.675], [0.449, 0.795, 0.175], [0.500, 0.500, 0.500], [0.551, 0.205, 0.825], [0.705, 0.051, 0.325], [0.795, 0.449, 0.825], [0.949, 0.295, 0.325], [0.126, 0.874, 0.374], [0.374, 0.626, 0.874], [0.626, 0.374, 0.126], [0.874, 0.126, 0.626], [0.215, 0.215, 0.000], [0.285, 0.285, 0.500], [0.715, 0.715, 0.500], [0.785, 0.785, 0.000]],
  "formation_energy_ev_per_atom": -0.402,
  "rho_g_cm3": 8.3
}

=====

Entry 10:
{
  "formula": "Ti6Ir5Pt",
  "functional": "PBE-GGA",
  "state": "relaxed",
  "lattice": [[6.832, -2.922, 0.000], [6.832, 2.922, 0.000], [-0.663, 0.000, 4.555]],
  "species": ["Ti", "Ti", "Ti", "Ti", "Ti", "Ti", "Ir", "Ir", "Ir", "Ir", "Ir", "Pt"],
  "fractional_positions": [[0.081, 0.585, 0.310], [0.246, 0.754, 0.000], [0.415, 0.919, 0.690], [0.585, 0.081, 0.310], [0.754, 0.246, 0.000], [0.919, 0.415, 0.690], [0.000, 0.000, 0.500], [0.170, 0.170, 0.191], [0.331, 0.331, 0.811], [0.669, 0.669, 0.189], [0.830, 0.830, 0.809], [0.500, 0.500, 0.500]],
  "formation_energy_ev_per_atom": -0.852,
  "rho_g_cm3": 13.2
}

=====

Entry 11:
{
  "formula": "LiU4Se7",
  "functional": "PBE-GGA",
  "state": "relaxed",
  "lattice": [[6.690, -1.961, 0.000], [6.690, 1.961, 0.000], [-2.998, 0.000, 11.610]],
  "species": ["Li", "U", "U", "U", "U", "Se", "Se", "Se", "Se", "Se", "Se", "Se"],
  "fractional_positions": [[0.000, 0.000, 0.000], [0.108, 0.108, 0.423], [0.240, 0.240, 0.865], [0.411, 0.411, 0.612], [0.801, 0.801, 0.215], [0.080, 0.080, 0.650], [0.143, 0.143, 0.204], [0.386, 0.386, 0.077], [0.447, 0.447, 0.369], [0.632, 0.632, 0.954], [0.768, 0.768, 0.474], [0.857, 0.857, 0.776]],
  "e_above_lowest_polymorph_mev_per_atom": 26,
  "rho_g_cm3": 8.2,
  "formation_energy_uncorrected_ev_per_atom": -1.10
}

=====

Entry 12:
{
  "formula": "Ba2ScW",
  "functional": "PBE-GGA",
  "state": "relaxed",
  "lattice": [[9.741, -1.713, 0.000], [9.741, 1.713, 0.000], [-1.050, 0.000, 4.414]],
  "species": ["Ba", "Ba", "Sc", "W"],
  "fractional_positions": [[0.153, 0.153, 0.152], [0.847, 0.847, 0.848], [0.000, 0.000, 0.500], [0.500, 0.500, 0.000]],
  "e_above_lowest_polymorph_mev_per_atom": 98,
  "formation_energy_ev_per_atom": 0.786,
  "rho_g_cm3": 5.7
}

=====

Entry 13:
{
  "formula": "Sc3Pt5",
  "functional": "PBE-GGA",
  "state": "relaxed",
  "lattice": [[5.420, -5.041, 0.000], [5.420, 5.041, 0.000], [-2.487, 0.000, 5.044]],
  "species": ["Sc", "Sc", "Sc", "Sc", "Sc", "Sc", "Pt", "Pt", "Pt", "Pt", "Pt", "Pt", "Pt", "Pt", "Pt", "Pt"],
  "fractional_positions": [[0.039, 0.961, 0.750], [0.181, 0.562, 0.455], [0.438, 0.819, 0.045], [0.562, 0.181, 0.955], [0.819, 0.438, 0.545], [0.961, 0.039, 0.250], [0.082, 0.676, 0.978], [0.188, 0.300, 0.744], [0.300, 0.188, 0.244], [0.324, 0.918, 0.522], [0.471, 0.529, 0.250], [0.529, 0.471, 0.750], [0.676, 0.082, 0.478], [0.700, 0.812, 0.756], [0.812, 0.700, 0.256], [0.918, 0.324, 0.022]],
  "e_above_lowest_polymorph_mev_per_atom": 119,
  "formation_energy_ev_per_atom": -1.032,
  "rho_g_cm3": 13.4
}